Density functional theory data (GGA+U) for WS2F after structural relaxation.

The calculation puts the calculated density at 7.76 g/cm³. As for the final energy: -18.89 eV per formula unit. Its magnetic moment is 0.507 μB/atom.

The structure belongs to space group Fm-3m (No. 225); the cell edges are 6.113, 6.113 and 6.113 Å and the angles 90.00°, 90.00° and 90.00°. The distinct sites, in fractional coordinates, are W at (0.000, 0.000, 0.000), S at (0.250, 0.250, 0.250) and F at (0.000, 0.000, 0.500).